Record 1
First-principles (PBE) data for crystalline ScHgMoPt2 at its relaxed geometry, as listed in Alexandria.

Structure (extended XYZ):
```
5
Lattice="-4.079 -1.283 2.281 -0.148 -4.104 -2.573 2.707 -2.315 3.538" Properties=species:S:1:pos:R:3 pbc="T T T"
Pt -0.074 -2.052 -1.286
Pt -2.039 -0.641 1.141
Mo 0.000 0.000 0.000
Hg -0.760 -3.851 1.624
Sc 1.354 -1.158 1.769
```

For the calculated formation energy, the calculation gives 3.2 eV per formula unit. Its space-group type is P4/mmm, No. 123.

=====

Record 2
First-principles (PBE) data for crystalline K2MnSiI at its relaxed geometry, as listed in Alexandria.

Structure (extended XYZ):
```
5
Lattice="6.506 0.000 0.000 0.000 5.761 0.000 0.000 0.000 6.506" Properties=species:S:1:pos:R:3 pbc="T T T"
Si 0.000 0.000 0.000
K 0.000 0.000 3.253
K 3.253 0.000 0.000
Mn 3.253 2.880 3.253
I 0.000 2.880 0.000
```

Its space-group type is P4/mmm, No. 123.

=====

Record 3
First-principles (PBE) data for crystalline ZnCo2Re at its relaxed geometry, as listed in Alexandria.

Structure (extended XYZ):
```
4
Lattice="2.595 0.000 0.000 0.000 3.764 0.000 0.000 0.000 5.151" Properties=species:S:1:pos:R:3 pbc="T T T"
Co 1.298 1.882 1.358
Co 0.000 0.000 5.101
Re 0.000 0.000 2.441
Zn 1.298 1.882 3.979
```

For the calculated formation energy, the calculation gives 0.6 eV per formula unit. Its space-group type is Pmm2, No. 25.

=====

The total energy results, record by record, are as follows: -5.2775; -3.0016; -6.8300 eV per atom.